1.
## Sb2As2Au (PBE)

Data for a relaxed Sb2As2Au crystal.

* M_tot: 0.00 μB/f.u.
* E above lowest polymorph: 0.66 eV/f.u.
* SG: I4/mmm

abc: 5.6101 5.6101 5.6101
angles: 119.57 119.57 90.75
Last column: nearest neighbours and their distance in Å.
Fractional coordinates of all 5 atoms:
1 Sb 0.2500 0.7500 0.5000  4 As 2.89
2 Sb 0.7500 0.2500 0.5000  4 As 2.89
3 As 0.1740 0.1740 0.0000  1 Au 2.57, 1 As 2.74
4 As 0.8260 0.8260 0.0000  1 Au 2.57, 1 As 2.74
5 Au 0.5000 0.5000 0.0000  2 As 2.57

2.
## Sb2AsAu (PBE)

Data for a relaxed Sb2AsAu crystal.

* M_tot: 0.00 μB/f.u.
* SG: R3m

abc: 7.2795 7.2795 7.2795
angles: 32.24 32.24 32.24
Last column: nearest neighbours and their distance in Å.
Fractional coordinates of all 4 atoms:
1 Sb 0.0000 0.0000 0.0000  3 As 2.88, 3 Sb 3.12
2 Sb 0.2333 0.2333 0.2333  3 Au 2.83, 3 Sb 3.12
3 As 0.7484 0.7484 0.7484  3 Au 2.79, 3 Sb 2.88
4 Au 0.4891 0.4891 0.4891  3 As 2.79, 3 Sb 2.83

no.,uncorrected energy (eV/atom),formation energy (no corrections) (eV per atom),calculated density (Mg/m³)
1,-3.979,0.185,7.801
2,-4.014,0.029,8.770